(1)
Density functional theory data (PBE-GGA) for LaTbSi2Ni2 after structural relaxation.

Calculated values
As for the space-group type: P-3m1, No. 164. Its calculated volume is 19.44 Å³/atom. The calculation puts the total energy at -36.5 eV/cell. The uncorrected formation energy is -0.752 eV per atom.

Cell lengths 4.020, 4.020, 8.338 Å; angles 90.00, 90.00, 120.00 degrees
Fractional positions:
Ni 0.667 0.333 0.265
Ni 0.333 0.667 0.735
Tb 0.000 0.000 0.500
Si 0.667 0.333 0.738
Si 0.333 0.667 0.262
La 0.000 0.000 0.000

(2)
Density functional theory data (PBE-GGA) for LaMg2AlAu4 after structural relaxation.

Calculated values
As for the space-group type: R-3m, No. 166. Its calculated volume is 20.58 Å³/atom. The calculation puts the total energy at -30.0 eV/cell. Its formation energy is -0.62 eV per atom.

Cell lengths 4.569, 4.569, 9.483 Å; angles 76.06, 76.06, 60.00 degrees
Fractional positions:
Au 0.399 0.399 0.803
Au 0.134 0.134 0.599
Au 0.601 0.601 0.197
Au 0.866 0.866 0.401
Mg 0.238 0.238 0.285
Mg 0.762 0.762 0.715
Al 0.500 0.500 0.500
La 0.000 0.000 0.000

(3)
Density functional theory data (PBE-GGA) for NbCuAg2Rh after structural relaxation.

Calculated values
As for the space-group type: P4/mmm, No. 123. Its calculated volume is 19.59 Å³/atom. The calculation puts the total energy at -21.8 eV/cell. Its formation energy is 1.07 eV per atom.

Cell lengths 4.599, 4.631, 4.599 Å; angles 90.00, 90.00, 90.00 degrees
Each line ends with the local moment (μB).
Fractional positions:
Ag 0.000 0.000 0.500  0.03
Ag 0.500 0.000 0.000  0.07
Nb 0.500 0.500 0.500  1.82
Rh 0.000 0.500 0.000  0.31
Cu 0.000 0.000 0.000  0.06

(4)
Density functional theory data (PBE-GGA) for Tl2IrCl after structural relaxation.

Calculated values
As for the space-group type: Pmmm, No. 47. Its calculated volume is 27.02 Å³/atom. The calculation puts the total energy at -13.7 eV/cell. For the offset from the most stable computed form, the calculation gives 33.2 kJ per mole of atoms. The uncorrected formation energy is 0.427 eV per atom.

Cell lengths 3.517, 6.905, 4.450 Å; angles 90.00, 90.00, 90.00 degrees
Each line ends with the local moment (μB).
Fractional positions:
Tl 0.500 0.500 0.000  -0.01
Tl 0.000 0.000 0.000  0.00
Cl 0.500 0.000 0.500  0.03
Ir 0.000 0.500 0.500  0.52

(5)
Density functional theory data (PBE-GGA) for Cd4InAg15 after structural relaxation.

Calculated values
As for the space-group type: P4/mmm, No. 123. Its calculated volume is 18.59 Å³/atom. The calculation puts the total energy at -49.9 eV/cell. Its formation energy is -0.04 eV per atom.

Cell lengths 4.177, 4.177, 21.303 Å; angles 90.00, 90.00, 90.00 degrees
Fractional positions:
Ag 0.500 0.500 0.400
Ag 0.500 0.500 0.600
Ag 0.500 0.500 0.000
Ag 0.000 0.500 0.300
Ag 0.500 0.000 0.500
Ag 0.000 0.500 0.700
Ag 0.500 0.500 0.800
Ag 0.500 0.000 0.300
Ag 0.500 0.000 0.700
Ag 0.500 0.500 0.200
Ag 0.000 0.500 0.100
Ag 0.500 0.000 0.100
Ag 0.000 0.500 0.900
Ag 0.000 0.500 0.500
Ag 0.500 0.000 0.900
Cd 0.000 0.000 0.200
Cd 0.000 0.000 0.600
Cd 0.000 0.000 0.800
Cd 0.000 0.000 0.400
In 0.000 0.000 0.000

(6)
Density functional theory data (PBE-GGA) for SrNdH6Pt2 after structural relaxation.

Calculated values
As for the space-group type: C2/c, No. 15. Its calculated volume is 12.47 Å³/atom. The calculation puts the total energy at -88.7 eV/cell.

Cell lengths 6.355, 6.355, 6.851 Å; angles 103.29, 103.29, 103.74 degrees
Fractional positions:
H 0.216 0.158 0.998
H 0.921 0.426 0.127
H 0.842 0.784 0.502
H 0.574 0.079 0.373
H 0.079 0.574 0.873
H 0.460 0.696 0.119
H 0.696 0.460 0.619
H 0.304 0.540 0.381
H 0.158 0.216 0.498
H 0.540 0.304 0.881
H 0.426 0.921 0.627
H 0.784 0.842 0.002
Nd 0.587 0.413 0.250
Nd 0.413 0.587 0.750
Sr 0.154 0.846 0.250
Sr 0.846 0.154 0.750
Pt 0.672 0.950 0.184
Pt 0.328 0.050 0.816
Pt 0.950 0.672 0.684
Pt 0.050 0.328 0.316